# 1
Entry from Alexandria via LeMat-Bulk: a geometry-optimized ZnReMo2 structure (PBE).

Values from the calculation:
Density, g cm⁻³: 12.030
Energy, eV per cell: -34.8

abc: 4.444 2.667 5.251
angles: 79.63 90.00 90.00
Fractional coordinates of all 4 atoms:
Mo 0.000 0.041 0.986
Mo 0.500 0.267 0.261
Zn 0.500 0.692 0.757
Re 0.000 0.499 0.496

# 2
Entry from Alexandria via LeMat-Bulk: a geometry-optimized NbZn2W structure (PBE).

Values from the calculation:
Density, g cm⁻³: 10.902
Distance to the lowest polymorph of the same formula, meV/atom: 0
Energy, eV per cell: -24.1

abc: 4.444 4.444 4.444
angles: 60.00 60.00 60.00
Fractional coordinates of all 4 atoms:
Zn 0.250 0.250 0.250
Zn 0.750 0.750 0.750
Nb 0.000 0.000 0.000
W 0.500 0.500 0.500

# 3
Entry from Alexandria via LeMat-Bulk: a geometry-optimized In2PbAu structure (PBE).

Values from the calculation:
Density, g cm⁻³: 10.363
Energy, eV per cell: -12.3

abc: 5.551 5.551 3.445
angles: 90.00 90.00 106.91
Fractional coordinates of all 4 atoms:
Au 0.000 0.500 0.500
Pb 0.500 0.000 0.500
In 0.000 0.000 0.000
In 0.500 0.500 0.000

# 4
Entry from Alexandria via LeMat-Bulk: a geometry-optimized Dy2PuSc structure (PBE).

Values from the calculation:
Density, g cm⁻³: 8.914
Distance to the lowest polymorph of the same formula, meV/atom: 78
Energy, eV per cell: -29.1

abc: 5.448 5.448 5.448
angles: 60.00 60.00 60.00
Fractional coordinates of all 4 atoms:
Pu 0.000 0.000 0.000
Dy 0.250 0.250 0.250
Dy 0.750 0.750 0.750
Sc 0.500 0.500 0.500

# 5
Entry from Alexandria via LeMat-Bulk: a geometry-optimized Ho2ErS structure (PBE).

Values from the calculation:
Density, g cm⁻³: 7.748
Energy, eV per cell: -20.7

abc: 3.625 3.625 10.180
angles: 79.74 79.74 60.00
Fractional coordinates of all 4 atoms:
Ho 0.112 0.112 0.665
Ho 0.888 0.888 0.335
S 0.500 0.500 0.500
Er 0.000 0.000 0.000

# 6
Entry from Alexandria via LeMat-Bulk: a geometry-optimized PrNd2Ho5Tm structure (PBE).

Values from the calculation:
Density, g cm⁻³: 8.016
Energy, eV per cell: -78.5

abc: 8.740 8.740 9.887
angles: 116.23 116.23 90.00
Fractional coordinates of all 18 atoms:
Ho 0.348 0.848 0.276
Ho 0.848 0.928 0.276
Ho 0.928 0.428 0.276
Ho 0.072 0.572 0.724
Ho 0.572 0.652 0.724
Ho 0.152 0.072 0.724
Ho 0.500 0.500 0.000
Ho 0.000 0.000 0.000
Ho 0.652 0.152 0.724
Ho 0.428 0.348 0.276
Tm 0.750 0.250 0.500
Tm 0.250 0.750 0.500
Pr 0.750 0.750 0.500
Pr 0.250 0.250 0.500
Nd 0.883 0.617 0.000
Nd 0.117 0.383 0.000
Nd 0.617 0.117 0.000
Nd 0.383 0.883 0.000

Please write out number 2 again, unchanged.
Entry from Alexandria via LeMat-Bulk: a geometry-optimized NbZn2W structure (PBE).

Values from the calculation:
Density, g cm⁻³: 10.902
Distance to the lowest polymorph of the same formula, meV/atom: 0
Energy, eV per cell: -24.1

abc: 4.444 4.444 4.444
angles: 60.00 60.00 60.00
Fractional coordinates of all 4 atoms:
Zn 0.250 0.250 0.250
Zn 0.750 0.750 0.750
Nb 0.000 0.000 0.000
W 0.500 0.500 0.500

Copy entry 3 word for word.
Entry from Alexandria via LeMat-Bulk: a geometry-optimized In2PbAu structure (PBE).

Values from the calculation:
Density, g cm⁻³: 10.363
Energy, eV per cell: -12.3

abc: 5.551 5.551 3.445
angles: 90.00 90.00 106.91
Fractional coordinates of all 4 atoms:
Au 0.000 0.500 0.500
Pb 0.500 0.000 0.500
In 0.000 0.000 0.000
In 0.500 0.500 0.000